VASP calculation (PBE) on a relaxed structure of Dy2Er6Tm3.

## Properties
- polymorph energy (0 for the lowest one) (meV/atom) = 170
- D(E_F) (states/eV/f.u.) = 16.8
- DFT formation energy (eV/atom) = 0.2951

Cell: 4.658 4.658 32.727 Å, 90.00 90.00 90.00°
Space group I4/mmm (No. 139)
One atom of each set of equivalent atoms:
Dy (0.000, 0.000, 0.046) [4 per cell]
Er (0.000, 0.000, 0.196) [4 per cell]
Er (0.000, 0.500, 0.122) [8 per cell]
Tm (0.000, 0.000, 0.300) [4 per cell]
Tm (0.000, 0.000, 0.500) [2 per cell]